No. 1
# KTlInSi2, optimized geometry, DFT PBE-GGA
data_KTlInSi2
_cell_length_a 5.321
_cell_length_b 5.321
_cell_length_c 6.107
_cell_angle_alpha 90.00
_cell_angle_beta 90.00
_cell_angle_gamma 90.00
_space_group_name_H-M_alt 'P 4/m m m'
_space_group_IT_number 123
_space_group_name_Hall '-P 4 2'
loop_
_atom_site_label
_atom_site_type_symbol
_atom_site_fract_x
_atom_site_fract_y
_atom_site_fract_z
K1 K 0.000 0.000 0.000
Tl1 Tl 0.000 0.000 0.500
In1 In 0.500 0.500 0.000
Si1 Si 0.000 0.500 0.500
# E in eV/atom: -2.5443
# Energy relative to the elements, uncorrected in meV/atom: 865

No. 2
# KSmIn2, optimized geometry, DFT PBE-GGA
data_KSmIn2
_cell_length_a 3.933
_cell_length_b 3.933
_cell_length_c 8.494
_cell_angle_alpha 90.00
_cell_angle_beta 90.00
_cell_angle_gamma 90.00
_space_group_name_H-M_alt 'P 4/m m m'
_space_group_IT_number 123
_space_group_name_Hall '-P 4 2'
loop_
_atom_site_label
_atom_site_type_symbol
_atom_site_fract_x
_atom_site_fract_y
_atom_site_fract_z
K1 K 0.000 0.000 0.000
Sm1 Sm 0.000 0.000 0.500
In1 In 0.500 0.500 0.296
# E in eV/atom: -3.0603
# Formation enthalpy at 0 K in meV per atom: -237
# Energy above the most stable polymorph in this dataset in meV/atom: 0.0

No. 3
# KSmIn, optimized geometry, DFT PBE-GGA
data_KSmIn
_cell_length_a 4.034
_cell_length_b 4.034
_cell_length_c 29.355
_cell_angle_alpha 90.00
_cell_angle_beta 90.00
_cell_angle_gamma 90.00
_space_group_name_H-M_alt 'I 4/m m m'
_space_group_IT_number 139
_space_group_name_Hall '-I 4 2'
loop_
_atom_site_label
_atom_site_type_symbol
_atom_site_fract_x
_atom_site_fract_y
_atom_site_fract_z
K1 K 0.000 0.000 0.075
Sm1 Sm 0.000 0.000 0.212
In1 In 0.000 0.000 0.342
# E in eV/atom: -2.9828
# Formation enthalpy at 0 K in meV per atom: -131

No. 4
# K3Sm3InTe8, optimized geometry, DFT PBE-GGA
data_K3Sm3InTe8
_cell_length_a 15.446
_cell_length_b 8.898
_cell_length_c 9.971
_cell_angle_alpha 90.00
_cell_angle_beta 121.15
_cell_angle_gamma 90.00
_space_group_name_H-M_alt 'C 1 2/m 1'
_space_group_IT_number 12
loop_
_space_group_symop_operation_xyz
'x,y,z'
'-x,-y,-z'
'-x,y,-z'
'x,-y,z'
'x+1/2,y+1/2,z'
'-x+1/2,-y+1/2,-z'
'-x+1/2,y+1/2,-z'
'x+1/2,-y+1/2,z'
loop_
_atom_site_label
_atom_site_type_symbol
_atom_site_fract_x
_atom_site_fract_y
_atom_site_fract_z
K1 K 0.000 0.000 0.000
K2 K 0.250 0.250 0.000
Sm1 Sm 0.000 0.500 0.500
Sm2 Sm 0.250 0.250 0.500
In1 In 0.000 0.000 0.500
Te1 Te 0.013 0.245 0.293
Te2 Te 0.232 0.000 0.707
Te3 Te 0.238 0.500 0.713
# E in eV/atom: -4.1229
# Energy relative to the elements, uncorrected in meV/atom: -1101

No. 5
# KSmTlIn, optimized geometry, DFT PBE-GGA
data_KSmTlIn
_cell_length_a 7.941
_cell_length_b 7.941
_cell_length_c 7.941
_cell_angle_alpha 90.00
_cell_angle_beta 90.00
_cell_angle_gamma 90.00
_space_group_name_H-M_alt 'F -4 3 m'
_space_group_IT_number 216
_space_group_name_Hall 'F -4 2 3'
loop_
_atom_site_label
_atom_site_type_symbol
_atom_site_fract_x
_atom_site_fract_y
_atom_site_fract_z
K1 K 0.000 0.000 0.000
Sm1 Sm 0.000 0.000 0.500
Tl1 Tl 0.250 0.250 0.750
In1 In 0.250 0.250 0.250
# E in eV/atom: -2.8399
# Formation enthalpy at 0 K in meV per atom: -110

No. 6
# K2In3Sn, optimized geometry, DFT PBE-GGA
data_K2In3Sn
_cell_length_a 12.315
_cell_length_b 5.093
_cell_length_c 8.726
_cell_angle_alpha 90.00
_cell_angle_beta 134.47
_cell_angle_gamma 90.00
_space_group_name_H-M_alt 'C 1 m 1'
_space_group_IT_number 8
loop_
_space_group_symop_operation_xyz
'x,y,z'
'x,-y,z'
'x+1/2,y+1/2,z'
'x+1/2,-y+1/2,z'
loop_
_atom_site_label
_atom_site_type_symbol
_atom_site_fract_x
_atom_site_fract_y
_atom_site_fract_z
K1 K 0.000 0.000 0.000
K2 K 0.142 0.000 0.643
In1 In 0.232 0.500 0.405
In2 In 0.413 0.000 0.588
In3 In 0.414 0.000 0.242
Sn1 Sn 0.226 0.500 0.047
# E in eV/atom: -2.6002
# Formation enthalpy at 0 K in meV per atom: -198

No. 7
# K2In2Sn, optimized geometry, DFT PBE-GGA
data_K2In2Sn
_cell_length_a 8.453
_cell_length_b 12.669
_cell_length_c 7.754
_cell_angle_alpha 90.00
_cell_angle_beta 103.72
_cell_angle_gamma 90.00
_space_group_name_H-M_alt 'C 1 2/m 1'
_space_group_IT_number 12
loop_
_space_group_symop_operation_xyz
'x,y,z'
'-x,-y,-z'
'-x,y,-z'
'x,-y,z'
'x+1/2,y+1/2,z'
'-x+1/2,-y+1/2,-z'
'-x+1/2,y+1/2,-z'
'x+1/2,-y+1/2,z'
loop_
_atom_site_label
_atom_site_type_symbol
_atom_site_fract_x
_atom_site_fract_y
_atom_site_fract_z
K1 K 0.199 0.172 0.261
In1 In 0.100 0.500 0.369
In2 In 0.163 0.000 0.865
Sn1 Sn 0.000 0.382 0.000
# E in eV/atom: -2.4346
# Formation enthalpy at 0 K in meV per atom: -100
# Energy above the most stable polymorph in this dataset in meV/atom: 0.0

No. 8
# KInSn, optimized geometry, DFT PBE-GGA
data_KInSn
_cell_length_a 4.784
_cell_length_b 5.003
_cell_length_c 8.726
_cell_angle_alpha 90.00
_cell_angle_beta 90.00
_cell_angle_gamma 90.00
_space_group_name_H-M_alt 'P m m 2'
_space_group_IT_number 25
loop_
_space_group_symop_operation_xyz
'x,y,z'
'-x,-y,z'
'-x,y,z'
'x,-y,z'
loop_
_atom_site_label
_atom_site_type_symbol
_atom_site_fract_x
_atom_site_fract_y
_atom_site_fract_z
K1 K 0.000 0.000 0.000
K2 K 0.500 0.500 0.315
In1 In 0.000 0.500 0.653
In2 In 0.500 0.500 0.881
Sn1 Sn 0.000 0.000 0.440
Sn2 Sn 0.500 0.000 0.659
# E in eV/atom: -2.8132
# Formation enthalpy at 0 K in meV per atom: -200

no.,V (Å³ per atom)
1,34.58
2,32.84
3,39.81
4,39.10
5,31.30
6,32.54
7,40.34
8,34.81